{"formula": "NpMn2InO8", "functional": "PBE+U", "state": "optimized geometry", "lattice": [[-2.727, 2.687, 3.177], [-3.241, -3.765, -0.193], [2.898, -2.740, 4.804]], "species": ["Np", "Mn", "Mn", "In", "O", "O", "O", "O", "O", "O", "O", "O"], "frac_coords": [[0.000, 0.000, 0.000], [0.500, 0.500, 0.745], [0.500, 0.500, 0.255], [0.000, 0.000, 0.500], [0.188, 0.810, 0.228], [0.684, 0.685, 0.000], [0.812, 0.189, 0.228], [0.812, 0.190, 0.772], [0.316, 0.315, 0.000], [0.188, 0.811, 0.772], [0.681, 0.682, 0.500], [0.319, 0.318, 0.500]], "crystal_system": "orthorhombic", "magnetic_moment_mub_per_fu": 8.04, "volume_a3_per_fu": 154.0, "space_group": "No. 65", "dft_energy_ev_per_atom": -7.71}